# BaSrCa2Cu

An optimized crystal structure of BaSrCa2Cu (PBE, the Alexandria database).

Structure (extended XYZ):
```
5
Lattice="5.8928 0.0000 0.0000 0.0000 5.8928 0.0000 0.0000 0.0000 6.2028" Properties=species:S:1:pos:R:3 pbc="T T T"
Ba 0.0000 0.0000 3.1014
Ca 2.9464 0.0000 0.0000
Ca 0.0000 2.9464 0.0000
Sr 2.9464 2.9464 3.1014
Cu 0.0000 0.0000 0.0000
```

Computed properties:
density = 2.8 Mg/m³
DFT formation energy = 1 meV/atom
density of states at the Fermi level = 4.3 states/eV/cell
VASP energy = -11.7 eV per cell